Entry 1
The following is a DFT calculation (PBE) of a relaxed structure of Sb2WCl2.

Calculated values
space group	P4/mbm
magnetization	1.98	μB per formula unit

The structure in POSCAR format:
```
Sb2WCl2
1.0
8.854 0.000 0.000
0.000 8.854 0.000
0.000 0.000 3.033
Sb W Cl
4 2 4
Direct
0.286 0.786 0.000
0.786 0.714 0.000
0.714 0.214 0.000
0.214 0.286 0.000
0.000 0.000 0.000
0.500 0.500 0.000
0.113 0.613 0.500
0.613 0.887 0.500
0.887 0.387 0.500
0.387 0.113 0.500
```

Entry 2
The following is a DFT calculation (PBE) of a relaxed structure of Sb2WCl2.

Calculated values
space group	I4/mmm
magnetization	0.00	μB per formula unit

The structure in POSCAR format:
```
Sb2WCl2
1.0
3.555 0.000 0.000
0.000 3.555 0.000
1.778 1.778 9.995
Sb W Cl
2 1 2
Direct
0.424 0.424 0.151
0.576 0.576 0.849
0.000 0.000 0.000
0.750 0.250 0.500
0.250 0.750 0.500
```

Order of stability, best first: entry 2, entry 1

Entry 1
The following is a DFT calculation (PBE) of a relaxed structure of YSbCl2.

Calculated values
space group	Fm-3m
magnetization	0.00	μB per formula unit

The structure in POSCAR format:
```
YSbCl2
1.0
5.100 0.000 0.000
2.550 4.417 0.000
2.550 1.472 4.164
Y Sb Cl
1 1 2
Direct
0.500 0.500 0.500
0.000 0.000 0.000
0.750 0.750 0.750
0.250 0.250 0.250
```

Entry 2
The following is a DFT calculation (PBE) of a relaxed structure of YSbCl2.

Calculated values
space group	P4mm
magnetization	0.00	μB per formula unit

The structure in POSCAR format:
```
YSbCl2
1.0
3.734 0.000 0.000
0.000 3.734 0.000
0.000 0.000 7.351
Y Sb Cl
1 1 2
Direct
0.500 0.500 0.838
0.000 0.000 0.510
0.000 0.000 0.956
0.500 0.500 0.196
```

Order of stability, best first: entry 2, entry 1

Entry 1
The following is a DFT calculation (PBE) of a relaxed structure of YSbCl2.

Calculated values
space group	P4/mmm
magnetization	0.08	μB per formula unit

The structure in POSCAR format:
```
YSbCl2
1.0
-1.897 -2.169 -1.577
1.036 -2.375 2.020
-8.473 2.293 7.041
Y Sb Cl
1 1 2
Direct
0.500 0.500 0.750
0.500 0.500 0.250
0.000 0.000 0.892
0.000 0.000 0.608
```

Entry 2
The following is a DFT calculation (PBE) of a relaxed structure of YSbCl2.

Calculated values
space group	R-3m
magnetization	0.00	μB per formula unit

The structure in POSCAR format:
```
YSbCl2
1.0
3.362 -10.383 2.779
3.872 -10.553 -0.689
6.355 -9.194 1.385
Y Sb Cl
1 1 2
Direct
0.500 0.500 0.500
0.000 0.000 0.000
0.887 0.887 0.887
0.113 0.113 0.113
```

Order of stability, best first: entry 1, entry 2